{"formula": "GeAs3N", "functional": "GGA-PBE", "state": "relaxed", "lattice_angstrom": [[4.410, 0.000, 0.000], [0.000, 4.410, 0.000], [0.000, 0.000, 4.410]], "species": ["Ge", "As", "As", "As", "N"], "frac_coords": [[0.000, 0.000, 0.000], [0.000, 0.500, 0.500], [0.500, 0.000, 0.500], [0.500, 0.500, 0.000], [0.500, 0.500, 0.500]], "space_group": "Pm-3m, No. 221", "e_form_raw_ev_per_atom": 0.754, "e_above_lowest_polymorph_mev_per_atom": 0, "dft_energy_ev_per_cell": -23.1}